Version 1
RbBa2SrGa | PBE | relaxed

Calculated values
Mass density in g/cm³: 2.8
Magnetization in Bohr magnetons per cell: 2.1

a = 6.7522 Å, b = 6.6964 Å, c = 6.7522 Å
α = 90.00°, β = 90.00°, γ = 90.00°
Closest atoms and distances in Å follow each position.
Positions (direct):
Ba 0.5000 0.0000 0.0000  2 Rb 3.38
Ba 0.0000 0.0000 0.5000  2 Rb 3.38
Rb 0.0000 0.0000 0.0000  2 Sr 3.35, 4 Ba 3.38
Ga 0.5000 0.5000 0.5000  8 Ba 4.75, 4 Sr 4.77
Sr 0.0000 0.5000 0.0000  2 Rb 3.35


Version 2
RbBa2SrGa | PBE | relaxed

Calculated values
Mass density in g/cm³: 2.9
Magnetization in Bohr magnetons per cell: 0.0

a = 6.7146 Å, b = 6.7146 Å, c = 6.4918 Å
α = 90.00°, β = 90.00°, γ = 90.00°
Closest atoms and distances in Å follow each position.
Positions (direct):
Ba 0.5000 0.0000 0.0000  2 Ga 3.36
Ba 0.0000 0.5000 0.0000  2 Ga 3.36
Sr 0.0000 0.0000 0.5000  2 Ga 3.25
Rb 0.5000 0.5000 0.5000  8 Ba 4.67, 4 Sr 4.75
Ga 0.0000 0.0000 0.0000  2 Sr 3.25, 4 Ba 3.36


Which structure is the least stable? The one labeled version 1.


Version 1
BaGaRe | PBE | relaxed

Calculated values
Mass density in g/cm³: 7.1
Magnetization in Bohr magnetons per cell: 0.0

a = 11.5593 Å, b = 4.3397 Å, c = 7.5138 Å
α = 90.00°, β = 102.85°, γ = 90.00°
Closest atoms and distances in Å follow each position.
Positions (direct):
Ga 0.8497 0.5000 0.0358  1 Ga 2.68, 6 Re 2.72-2.90
Ga 0.0875 0.5000 0.1174  1 Ga 2.68, 6 Re 2.78-2.98
Ga 0.0875 0.0000 0.6174  1 Ga 2.68, 6 Re 2.78-2.98
Ga 0.8497 0.0000 0.5358  1 Ga 2.68, 6 Re 2.72-2.90
Re 0.9435 0.0000 0.2347  3 Re 2.54, 3 Ga 2.72
Re 0.9797 0.0000 0.9135  3 Re 2.54, 3 Ga 2.78-2.79
Re 0.9797 0.5000 0.4135  3 Re 2.54, 3 Ga 2.78-2.79
Re 0.9435 0.5000 0.7347  3 Re 2.54, 3 Ga 2.72
Ba 0.2818 0.5000 0.5174  3 Ga 3.33, 1 Re 3.41
Ba 0.6653 0.0000 0.8061  3 Ga 3.26, 1 Re 3.54
Ba 0.2818 0.0000 0.0174  3 Ga 3.33, 1 Re 3.41
Ba 0.6653 0.5000 0.3061  3 Ga 3.26, 1 Re 3.54


Version 2
BaGaRe | PBE | relaxed

Calculated values
Mass density in g/cm³: 7.4
Magnetization in Bohr magnetons per cell: 0.0

a = 19.8773 Å, b = 4.1373 Å, c = 4.2916 Å
α = 90.00°, β = 90.00°, γ = 90.00°
Closest atoms and distances in Å follow each position.
Positions (direct):
Re 0.0000 0.0000 0.7774  2 Re 2.47, 4 Ga 2.65-2.68
Re 0.0000 0.5000 0.4618  2 Re 2.47, 4 Ga 2.71
Re 0.5000 0.5000 0.2774  2 Re 2.47, 4 Ga 2.65-2.68
Re 0.5000 0.0000 0.9618  2 Re 2.47, 4 Ga 2.71
Ba 0.6538 0.0000 0.3048  4 Ga 3.26-3.39, 1 Re 3.39
Ba 0.3462 0.0000 0.3048  4 Ga 3.26-3.39, 1 Re 3.39
Ba 0.8462 0.5000 0.8048  4 Ga 3.26-3.39, 1 Re 3.39
Ba 0.1538 0.5000 0.8048  4 Ga 3.26-3.39, 1 Re 3.39
Ga 0.5793 0.5000 0.7813  4 Re 2.65-2.71
Ga 0.0793 0.0000 0.2813  4 Re 2.65-2.71
Ga 0.4207 0.5000 0.7813  4 Re 2.65-2.71
Ga 0.9207 0.0000 0.2813  4 Re 2.65-2.71


Version 3
BaGaRe | PBE | relaxed

Calculated values
Mass density in g/cm³: 7.2
Magnetization in Bohr magnetons per cell: 0.0

a = 4.3304 Å, b = 4.3308 Å, c = 11.4117 Å
α = 79.30°, β = 79.15°, γ = 60.00°
Closest atoms and distances in Å follow each position.
Positions (direct):
Re 0.1594 0.1597 0.0216  3 Re 2.55, 3 Ga 2.73
Re 0.8406 0.8403 0.9784  3 Re 2.55, 3 Ga 2.73
Ga 0.5402 0.5384 0.8806  1 Ga 2.66, 6 Re 2.73-2.95
Ga 0.4598 0.4616 0.1194  1 Ga 2.66, 6 Re 2.73-2.95
Ba 0.2683 0.2640 0.6971  3 Ga 3.23, 1 Re 3.62
Ba 0.7317 0.7360 0.3029  3 Ga 3.23, 1 Re 3.62


Which structure is the least stable? The one labeled version 2.


Version 1
BaGa3Re | PBE | relaxed

Calculated values
Mass density in g/cm³: 7.3
Magnetization in Bohr magnetons per cell: 0.0

a = 4.9430 Å, b = 4.9430 Å, c = 4.9430 Å
α = 90.00°, β = 90.00°, γ = 90.00°
Closest atoms and distances in Å follow each position.
Positions (direct):
Re 0.0000 0.0000 0.0000  6 Ga 2.47
Ga 0.5000 0.0000 0.0000  2 Re 2.47
Ga 0.0000 0.0000 0.5000  2 Re 2.47
Ga 0.0000 0.5000 0.0000  2 Re 2.47
Ba 0.5000 0.5000 0.5000  12 Ga 3.50


Version 2
BaGa3Re | PBE | relaxed

Calculated values
Mass density in g/cm³: 5.2
Magnetization in Bohr magnetons per cell: 0.0

a = 5.5308 Å, b = 5.5308 Å, c = 5.5308 Å
α = 90.00°, β = 90.00°, γ = 90.00°
Closest atoms and distances in Å follow each position.
Positions (direct):
Re 0.5000 0.5000 0.5000  12 Ga 3.91
Ga 0.0000 0.0000 0.5000  2 Ba 2.77
Ga 0.0000 0.5000 0.0000  2 Ba 2.77
Ga 0.5000 0.0000 0.0000  2 Ba 2.77
Ba 0.0000 0.0000 0.0000  6 Ga 2.77


Which structure is the least stable? The one labeled version 2.


Version 1
BaGaRe3 | PBE | relaxed

Calculated values
Mass density in g/cm³: 9.6
Magnetization in Bohr magnetons per cell: 5.1

a = 5.0956 Å, b = 5.0956 Å, c = 5.0956 Å
α = 90.00°, β = 90.00°, γ = 90.00°
Closest atoms and distances in Å follow each position.
Positions (direct):
Ba 0.0000 0.0000 0.0000  6 Re 2.55
Re 0.5000 0.0000 0.0000  2 Ba 2.55
Re 0.0000 0.5000 0.0000  2 Ba 2.55
Re 0.0000 0.0000 0.5000  2 Ba 2.55
Ga 0.5000 0.5000 0.5000  12 Re 3.60


Version 2
BaGaRe3 | PBE | relaxed

Calculated values
Mass density in g/cm³: 11.5
Magnetization in Bohr magnetons per cell: 3.6

a = 4.7999 Å, b = 4.7999 Å, c = 4.7999 Å
α = 90.00°, β = 90.00°, γ = 90.00°
Closest atoms and distances in Å follow each position.
Positions (direct):
Re 0.0000 0.5000 0.0000  2 Ga 2.40
Re 0.5000 0.0000 0.0000  2 Ga 2.40
Re 0.0000 0.0000 0.5000  2 Ga 2.40
Ba 0.5000 0.5000 0.5000  12 Re 3.39
Ga 0.0000 0.0000 0.0000  6 Re 2.40


Which structure is the least stable? The one labeled version 1.


Version 1
BaGaRe2 | PBE | relaxed

Calculated values
Mass density in g/cm³: 9.1
Magnetization in Bohr magnetons per cell: 0.0

a = 4.8118 Å, b = 4.8118 Å, c = 9.7910 Å
α = 75.78°, β = 75.78°, γ = 90.00°
Closest atoms and distances in Å follow each position.
Positions (direct):
Ba 0.0000 0.0000 0.0000  4 Ga 3.40, 8 Re 3.41-3.67
Ba 0.7500 0.2500 0.5000  4 Ga 3.40, 8 Re 3.41-3.67
Re 0.4154 0.6250 0.2500  2 Re 2.44, 2 Ga 2.60
Re 0.8750 0.5846 0.7500  2 Re 2.44, 2 Ga 2.60
Re 0.3346 0.1250 0.2500  2 Re 2.44, 2 Ga 2.60
Re 0.3750 0.6654 0.7500  2 Re 2.44, 2 Ga 2.60
Ga 0.5000 0.5000 0.0000  4 Re 2.60
Ga 0.2500 0.7500 0.5000  4 Re 2.60


Version 2
BaGaRe2 | PBE | relaxed

Calculated values
Mass density in g/cm³: 12.8
Magnetization in Bohr magnetons per cell: 0.0

a = 4.7368 Å, b = 4.7368 Å, c = 4.7368 Å
α = 60.00°, β = 60.00°, γ = 60.00°
Closest atoms and distances in Å follow each position.
Positions (direct):
Re 0.2500 0.2500 0.2500  4 Ba 2.90, 4 Ga 2.90
Re 0.7500 0.7500 0.7500  4 Ba 2.90, 4 Ga 2.90
Ga 0.0000 0.0000 0.0000  8 Re 2.90
Ba 0.5000 0.5000 0.5000  8 Re 2.90


Which structure is the least stable? The one labeled version 2.


Version 1
BaGaRuRh2 | PBE | relaxed

Calculated values
Mass density in g/cm³: 6.1
Magnetization in Bohr magnetons per cell: 2.7

a = 5.0094 Å, b = 5.5730 Å, c = 5.0094 Å
α = 90.00°, β = 90.00°, γ = 90.00°
Closest atoms and distances in Å follow each position.
Positions (direct):
Ba 0.0000 0.0000 0.0000  4 Rh 2.50, 2 Ga 2.79
Ru 0.5000 0.5000 0.5000  4 Ga 3.54, 8 Rh 3.75
Rh 0.5000 0.0000 0.0000  2 Ba 2.50
Rh 0.0000 0.0000 0.5000  2 Ba 2.50
Ga 0.0000 0.5000 0.0000  2 Ba 2.79


Version 2
BaGaRuRh2 | PBE | relaxed

Calculated values
Mass density in g/cm³: 6.4
Magnetization in Bohr magnetons per cell: 2.3

a = 5.0969 Å, b = 5.1612 Å, c = 5.0969 Å
α = 90.00°, β = 90.00°, γ = 90.00°
Closest atoms and distances in Å follow each position.
Positions (direct):
Rh 0.0000 0.0000 0.5000  2 Ba 2.55
Rh 0.5000 0.0000 0.0000  2 Ba 2.55
Ru 0.0000 0.5000 0.0000  2 Ba 2.58
Ga 0.5000 0.5000 0.5000  4 Ru 3.60, 8 Rh 3.63
Ba 0.0000 0.0000 0.0000  4 Rh 2.55, 2 Ru 2.58


Which structure is the least stable? The one labeled version 1.


Version 1
BaGaRu3 | PBE | relaxed

Calculated values
Mass density in g/cm³: 7.9
Magnetization in Bohr magnetons per cell: 2.6

a = 4.7518 Å, b = 4.7518 Å, c = 4.7518 Å
α = 90.00°, β = 90.00°, γ = 90.00°
Closest atoms and distances in Å follow each position.
Positions (direct):
Ru 0.0000 0.0000 0.5000  2 Ga 2.38
Ru 0.5000 0.0000 0.0000  2 Ga 2.38
Ru 0.0000 0.5000 0.0000  2 Ga 2.38
Ba 0.5000 0.5000 0.5000  12 Ru 3.36
Ga 0.0000 0.0000 0.0000  6 Ru 2.38


Version 2
BaGaRu3 | PBE | relaxed

Calculated values
Mass density in g/cm³: 6.5
Magnetization in Bohr magnetons per cell: 4.6

a = 5.0663 Å, b = 5.0663 Å, c = 5.0663 Å
α = 90.00°, β = 90.00°, γ = 90.00°
Closest atoms and distances in Å follow each position.
Positions (direct):
Ga 0.5000 0.5000 0.5000  12 Ru 3.58
Ru 0.0000 0.5000 0.0000  2 Ba 2.53
Ru 0.5000 0.0000 0.0000  2 Ba 2.53
Ru 0.0000 0.0000 0.5000  2 Ba 2.53
Ba 0.0000 0.0000 0.0000  6 Ru 2.53


Which structure is the least stable? The one labeled version 2.


Version 1
Ba2GaS4 | PBE | relaxed

Calculated values
Mass density in g/cm³: 4.0
Magnetization in Bohr magnetons per cell: 0.0

a = 6.2800 Å, b = 12.8757 Å, c = 20.2182 Å
α = 75.79°, β = 90.00°, γ = 90.00°
Closest atoms and distances in Å follow each position.
Positions (direct):
S 0.2465 0.8829 0.0114  1 Ga 2.26
S 0.9343 0.3145 0.8273  1 S 2.11
S 0.3182 0.1306 0.6156  2 Ga 2.30-2.33
S 0.1756 0.7308 0.3736  2 Ga 2.33-2.37
S 0.7345 0.6140 0.0153  1 Ga 2.34
S 0.3244 0.7308 0.8736  2 Ga 2.33-2.37
S 0.5981 0.3142 0.8265  1 S 2.11
S 0.7650 0.9623 0.6762  1 Ga 2.27
S 0.7742 0.5820 0.8371  1 Ga 2.24
S 0.4343 0.6855 0.6727  1 S 2.11
S 0.7465 0.1171 0.4886  1 Ga 2.26
S 0.6818 0.8694 0.3844  2 Ga 2.30-2.33
S 0.2258 0.4180 0.1629  1 Ga 2.24
S 0.4019 0.6858 0.1735  1 S 2.11
S 0.1818 0.1306 0.1156  2 Ga 2.30-2.33
S 0.8182 0.8694 0.8844  2 Ga 2.30-2.33
S 0.2742 0.4180 0.6629  1 Ga 2.24
S 0.0981 0.6858 0.6735  1 S 2.11
S 0.7350 0.9623 0.1762  1 Ga 2.27
S 0.5657 0.3145 0.3273  1 S 2.11
S 0.9019 0.3142 0.3265  1 S 2.11
S 0.7258 0.5820 0.3371  1 Ga 2.24
S 0.7535 0.1171 0.9886  1 Ga 2.26
S 0.2345 0.3860 0.4847  1 Ga 2.34
S 0.2350 0.0377 0.3238  1 Ga 2.27
S 0.2650 0.0377 0.8238  1 Ga 2.27
S 0.0657 0.6855 0.1727  1 S 2.11
S 0.2535 0.8829 0.5114  1 Ga 2.26
S 0.7655 0.6140 0.5153  1 Ga 2.34
S 0.6756 0.2692 0.1264  2 Ga 2.33-2.37
S 0.2655 0.3860 0.9847  1 Ga 2.34
S 0.8244 0.2692 0.6264  2 Ga 2.33-2.37
Ba 0.2562 0.1448 0.9517  7 S 3.21-3.53
Ba 0.7562 0.8552 0.5483  7 S 3.21-3.53
Ba 0.7319 0.4718 0.1874  8 S 3.17-3.51
Ba 0.7438 0.8552 0.0483  7 S 3.21-3.53
Ba 0.7629 0.3830 0.9626  8 S 3.13-3.40
Ba 0.2438 0.1448 0.4517  7 S 3.21-3.53
Ba 0.2681 0.5282 0.8126  8 S 3.17-3.51
Ba 0.7345 0.1052 0.2861  7 S 3.18-3.42
Ba 0.7371 0.3830 0.4626  8 S 3.13-3.40
Ba 0.2319 0.5282 0.3126  8 S 3.17-3.51
Ba 0.7655 0.1052 0.7861  7 S 3.18-3.42
Ba 0.2371 0.6170 0.0374  8 S 3.13-3.40
Ba 0.2345 0.8948 0.2139  7 S 3.18-3.42
Ba 0.2629 0.6170 0.5374  8 S 3.13-3.40
Ba 0.2655 0.8948 0.7139  7 S 3.18-3.42
Ba 0.7681 0.4718 0.6874  8 S 3.17-3.51
Ga 0.1893 0.3023 0.6002  4 S 2.24-2.37
Ga 0.3165 0.8825 0.4012  4 S 2.26-2.33
Ga 0.8107 0.6977 0.3998  4 S 2.24-2.37
Ga 0.3107 0.3023 0.1002  4 S 2.24-2.37
Ga 0.8165 0.1175 0.0988  4 S 2.26-2.33
Ga 0.1835 0.8825 0.9012  4 S 2.26-2.33
Ga 0.6835 0.1175 0.5988  4 S 2.26-2.33
Ga 0.6893 0.6977 0.8998  4 S 2.24-2.37


Version 2
Ba2GaS4 | PBE | relaxed

Calculated values
Mass density in g/cm³: 4.0
Magnetization in Bohr magnetons per cell: 0.3

a = 7.3718 Å, b = 6.0242 Å, c = 9.2352 Å
α = 90.00°, β = 107.01°, γ = 90.00°
Closest atoms and distances in Å follow each position.
Positions (direct):
Ga 0.2507 0.7500 0.1934  4 S 2.25-2.34
Ga 0.7493 0.2500 0.8066  4 S 2.25-2.34
S 0.5050 0.5129 0.7351  1 Ga 2.34
S 0.4950 0.0129 0.2649  1 Ga 2.34
S 0.1137 0.7500 0.9417  1 Ga 2.25
S 0.5050 0.9871 0.7351  1 Ga 2.34
S 0.8863 0.2500 0.0583  1 Ga 2.25
S 0.0734 0.7500 0.3588  1 Ga 2.28
S 0.4950 0.4871 0.2649  1 Ga 2.34
S 0.9266 0.2500 0.6412  1 Ga 2.28
Ba 0.7340 0.7500 0.0566  8 S 3.16-3.36
Ba 0.2660 0.2500 0.9434  8 S 3.16-3.36
Ba 0.7793 0.7500 0.5610  7 S 3.21-3.32
Ba 0.2207 0.2500 0.4390  7 S 3.21-3.32


Which structure is the least stable? The one labeled version 2.